Version a
TlCr2In (GGA-PBE, optimized geometry); V = 78 Å³/cell; DOS at the Fermi energy = 0.534 states/eV per atom
1.0
-1.683 -3.355 2.472
-0.008 -2.665 -3.621
3.561 -1.162 0.847
Tl Cr In
1 2 1
Cartesian
1.776 -1.913 -1.387
0.000 0.000 0.000
-0.845 -3.010 -0.575
0.939 -2.258 1.660

=====

Version b
TlCr2In (GGA-PBE, optimized geometry); V = 82 Å³/cell; DOS at the Fermi energy = 0.942 states/eV per atom
1.0
3.243 0.000 0.000
0.000 4.335 0.000
0.000 0.000 5.850
Tl Cr In
1 2 1
Cartesian
1.622 2.168 4.591
0.000 0.000 5.746
1.622 2.168 1.595
0.000 0.000 2.694

=====

It turns out version a is the most stable, with the second structure 130 meV per atom higher.

=====

Version a
TlCr2In (GGA-PBE, optimized geometry); V = 82 Å³/cell; DOS at the Fermi energy = 0.489 states/eV per atom
1.0
-9.042 -0.062 1.272
-8.892 -0.899 -1.876
-8.551 -3.175 0.435
Cr Tl In
2 1 1
Cartesian
-26.459 -4.132 -0.169
-13.268 -2.072 -0.085
-19.864 -3.102 -0.127
-6.621 -1.034 -0.042

=====

Version b
TlCr2In (GGA-PBE, optimized geometry); V = 79 Å³/cell; DOS at the Fermi energy = 0.918 states/eV per atom
1.0
4.571 0.000 0.000
0.000 3.143 -0.106
0.000 0.371 5.476
Tl Cr In
1 2 1
Cartesian
2.285 2.635 4.027
0.000 2.071 2.200
0.000 2.829 0.379
2.285 0.878 1.342

=====

Version c
TlCr2In (GGA-PBE, optimized geometry); V = 77 Å³/cell; DOS at the Fermi energy = 0.439 states/eV per atom
1.0
-7.113 0.407 6.028
-5.105 -1.283 7.706
-4.916 1.826 7.720
In Cr Tl
1 2 1
Cartesian
-8.754 0.486 10.961
-16.875 0.937 21.130
-4.505 0.250 5.641
-12.701 0.705 15.904

=====

Version d
TlCr2In (GGA-PBE, optimized geometry); V = 81 Å³/cell; DOS at the Fermi energy = 0.438 states/eV per atom
1.0
-3.132 -4.527 -0.723
1.957 -4.700 2.215
-0.837 5.200 1.757
Tl Cr In
1 2 1
Cartesian
0.266 -2.058 2.359
-1.175 -9.227 1.492
-2.278 -1.970 0.890
-0.588 -4.615 0.746

=====

It turns out version c is the most stable, with the second structure 119 meV per atom higher.

=====

Version a
TlCrIn (GGA-PBE, optimized geometry); V = 75 Å³/cell; DOS at the Fermi energy = 0.741 states/eV per atom
1.0
4.723 0.000 0.000
2.362 4.091 0.000
2.362 1.364 3.857
Tl In Cr
1 1 1
Cartesian
4.723 2.727 1.928
0.000 0.000 0.000
7.085 4.091 2.892

=====

Version b
TlCrIn (GGA-PBE, optimized geometry); V = 69 Å³/cell; DOS at the Fermi energy = 0.618 states/eV per atom
1.0
-1.951 -5.468 3.435
2.434 -5.989 1.927
0.552 6.686 -0.707
Tl Cr In
1 1 1
Cartesian
0.167 -3.965 1.856
0.003 -0.069 0.032
0.313 -7.423 3.474

=====

It turns out version b is the most stable, with the second structure 31 meV per atom higher.

=====

Version a
VCrIn (GGA-PBE, optimized geometry); V = 185 Å³/cell; DOS at the Fermi energy = 0.669 states/eV per atom
1.0
4.438 0.000 0.000
0.000 9.388 0.000
0.000 0.000 4.440
Cr V In
4 4 4
Cartesian
0.000 4.190 1.110
0.000 5.198 3.330
2.219 0.504 3.330
2.219 8.883 1.110
0.000 8.859 3.330
0.000 0.529 1.110
2.219 4.165 3.330
2.219 5.223 1.110
2.219 7.044 3.330
0.000 2.350 3.330
2.219 2.344 1.110
0.000 7.038 1.110

=====

Version b
VCrIn (GGA-PBE, optimized geometry); V = 96 Å³/cell; DOS at the Fermi energy = 0.607 states/eV per atom
1.0
6.930 0.000 0.002
0.000 3.013 0.000
-1.747 0.000 4.600
In V Cr
2 2 2
Cartesian
0.699 0.000 0.234
-0.175 1.507 2.534
4.200 0.000 2.414
5.074 1.507 0.114
2.602 1.507 1.813
1.728 0.000 4.113

=====

It turns out version a is the most stable, with the second structure 115 meV per atom higher.

=====

Version a
VCrIn2 (GGA-PBE, optimized geometry); V = 75 Å³/cell; DOS at the Fermi energy = 0.607 states/eV per atom
1.0
3.256 -2.257 2.577
-0.473 -4.619 0.886
2.903 -3.111 -2.058
V In Cr
1 2 1
Cartesian
0.000 0.000 0.000
4.265 -7.490 1.054
1.422 -2.497 0.351
2.843 -4.993 0.703

=====

Version b
VCrIn2 (GGA-PBE, optimized geometry); V = 165 Å³/cell; DOS at the Fermi energy = 0.976 states/eV per atom
1.0
-1.461 -6.126 -4.235
-2.830 -3.536 6.091
-4.750 -3.791 0.322
In Cr V
4 2 2
Cartesian
-2.458 -5.234 -1.816
-7.324 -11.307 1.880
-3.135 -3.908 3.369
-5.164 -6.458 0.922
0.000 0.000 0.000
-4.178 -7.374 -1.493
-4.862 -6.079 3.670
-2.145 -4.831 0.928

=====

It turns out version a is the most stable, with the second structure 336 meV per atom higher.

=====

Version a
V3CrIn (GGA-PBE, optimized geometry); V = 84 Å³/cell; DOS at the Fermi energy = 0.789 states/eV per atom
1.0
4.377 0.000 0.000
0.000 4.377 0.000
0.000 0.000 4.377
V In Cr
3 1 1
Cartesian
0.000 0.000 2.189
2.189 0.000 0.000
0.000 2.189 0.000
2.189 2.189 2.189
0.000 0.000 0.000

=====

Version b
V3CrIn (GGA-PBE, optimized geometry); V = 107 Å³/cell; DOS at the Fermi energy = 2.176 states/eV per atom
1.0
-4.443 -0.877 1.412
-1.386 -0.270 -4.529
0.918 -4.654 -0.003
Cr In V
1 1 3
Cartesian
-2.456 -2.901 -1.560
0.000 0.000 0.000
-2.222 -0.438 0.706
-0.693 -0.135 -2.264
0.459 -2.327 -0.002

=====

It turns out version a is the most stable, with the second structure 1669 meV per atom higher.

=====

Version a
VCr3In (GGA-PBE, optimized geometry); V = 89 Å³/cell; DOS at the Fermi energy = 1.226 states/eV per atom
1.0
-1.597 -1.467 3.902
-0.019 -4.176 -1.577
4.168 -0.581 1.488
V Cr In
1 3 1
Cartesian
0.000 0.000 0.000
-0.798 -0.733 1.951
2.084 -0.290 0.744
-0.009 -2.088 -0.789
1.276 -3.112 1.906

=====

Version b
VCr3In (GGA-PBE, optimized geometry); V = 131 Å³/cell; DOS at the Fermi energy = 2.229 states/eV per atom
1.0
-3.847 0.306 3.295
-1.920 -4.321 -1.841
2.695 -2.643 3.391
Cr In V
3 1 1
Cartesian
-1.923 0.153 1.648
1.348 -1.321 1.696
-0.960 -2.161 -0.920
0.000 0.000 0.000
-1.536 -3.329 2.423

=====

It turns out version a is the most stable, with the second structure 872 meV per atom higher.

=====

Version a
CrIn2W (GGA-PBE, optimized geometry); V = 73 Å³/cell; DOS at the Fermi energy = 0.618 states/eV per atom
1.0
5.170 -0.010 0.000
1.882 4.816 0.000
-3.526 -2.403 2.920
In W Cr
2 1 1
Cartesian
3.526 2.403 0.000
0.000 0.000 0.000
0.941 2.408 1.460
2.585 -0.005 1.460

=====

Version b
CrIn2W (GGA-PBE, optimized geometry); V = 76 Å³/cell; DOS at the Fermi energy = 0.785 states/eV per atom
1.0
3.073 0.000 0.000
0.000 3.115 -0.006
0.000 1.638 7.940
In Cr W
2 1 1
Cartesian
0.000 2.219 7.507
1.536 0.608 2.324
1.536 3.784 5.628
0.000 2.157 4.384

=====

Version c
CrIn2W (GGA-PBE, optimized geometry); V = 74 Å³/cell; DOS at the Fermi energy = 0.588 states/eV per atom
1.0
4.193 0.000 0.000
0.000 2.914 0.435
0.000 2.021 6.354
In Cr W
2 1 1
Cartesian
0.000 2.469 3.395
0.000 4.934 6.789
2.096 3.701 5.092
2.096 1.234 1.697

=====

It turns out version b is the most stable, with the second structure 264 meV per atom higher.

=====

Version a
Cr3InW (GGA-PBE, optimized geometry); V = 94 Å³/cell; DOS at the Fermi energy = 2.147 states/eV per atom
1.0
-1.343 -0.689 -4.286
-0.611 -4.411 0.901
-4.297 0.843 1.212
Cr W In
3 1 1
Cartesian
-0.306 -2.206 0.450
-2.149 0.421 0.606
-0.672 -0.345 -2.143
-3.126 -2.129 -1.087
0.000 0.000 0.000

=====

Version b
Cr3InW (GGA-PBE, optimized geometry); V = 104 Å³/cell; DOS at the Fermi energy = 0.809 states/eV per atom
1.0
-1.768 -4.350 0.153
4.319 -1.774 -0.516
0.535 -0.053 4.667
Cr W In
3 1 1
Cartesian
-0.884 -2.175 0.076
2.160 -0.887 -0.258
0.268 -0.027 2.333
0.000 0.000 0.000
1.543 -3.089 2.152

=====

It turns out version b is the most stable, with the second structure 1290 meV per atom higher.

=====

Version a
CrInW (GGA-PBE, optimized geometry); V = 49 Å³/cell; DOS at the Fermi energy = 0.842 states/eV per atom
1.0
0.001 2.551 -4.696
-0.662 -1.887 -4.956
-1.887 -0.011 5.000
W Cr In
1 1 1
Cartesian
-0.425 0.427 -6.201
-0.013 0.013 -0.188
-0.224 0.224 -3.263

=====

Version b
CrInW (GGA-PBE, optimized geometry); V = 61 Å³/cell; DOS at the Fermi energy = 0.892 states/eV per atom
1.0
-2.569 0.028 3.599
1.399 -1.920 3.730
1.106 2.486 3.486
In Cr W
1 1 1
Cartesian
-0.032 0.297 5.408
0.000 0.000 0.000
-0.048 0.446 8.111

=====

Version c
CrInW (GGA-PBE, optimized geometry); V = 48 Å³/cell; DOS at the Fermi energy = 0.868 states/eV per atom
1.0
-3.236 -2.787 1.297
3.958 -1.618 -1.279
0.920 0.162 2.643
In Cr W
1 1 1
Cartesian
1.839 -1.959 0.379
0.885 0.156 2.542
-0.161 -2.278 2.382

=====

It turns out version a is the most stable, with the second structure 127 meV per atom higher.

=====

Version a
CrInW (GGA-PBE, optimized geometry); V = 50 Å³/cell; DOS at the Fermi energy = 0.868 states/eV per atom
1.0
-1.472 6.479 -2.654
-3.741 5.712 -1.072
1.789 1.835 1.291
W Cr In
1 1 1
Cartesian
-2.766 8.571 -1.972
1.710 1.952 1.235
-0.579 5.338 -0.406

=====

Version b
CrInW (GGA-PBE, optimized geometry); V = 56 Å³/cell; DOS at the Fermi energy = 1.034 states/eV per atom
1.0
-3.944 -0.130 1.699
-0.497 -0.414 4.248
-1.447 3.310 2.326
Cr W In
1 1 1
Cartesian
-4.416 2.075 6.205
-2.944 1.384 4.137
0.000 0.000 0.000

=====

It turns out version a is the most stable, with the second structure 419 meV per atom higher.

=====

Version a
YCrIn3 (GGA-PBE, optimized geometry); V = 195 Å³/cell; DOS at the Fermi energy = 1.224 states/eV per atom
1.0
-5.607 -1.286 0.766
-0.043 -2.832 -5.066
1.496 -4.900 2.727
In Cr Y
3 1 1
Cartesian
-0.021 -1.416 -2.533
-2.804 -0.643 0.383
0.748 -2.450 1.363
-2.077 -4.509 -0.786
0.000 0.000 0.000

=====

Version b
YCrIn3 (GGA-PBE, optimized geometry); V = 128 Å³/cell; DOS at the Fermi energy = 0.559 states/eV per atom
1.0
5.041 0.000 0.000
0.000 5.041 0.000
0.000 0.000 5.041
Y In Cr
1 3 1
Cartesian
2.520 2.520 2.520
0.000 2.520 0.000
2.520 0.000 0.000
0.000 0.000 2.520
0.000 0.000 0.000

=====

It turns out version b is the most stable, with the second structure 834 meV per atom higher.